Computed, not measured: a relaxed LaYSe2 crystal at the GGA-PBE level of DFT.

Output
E_form (uncorrected): -1397 meV/atom
crystal system: trigonal
polymorph energy (0 for the lowest one): 0.494 eV/atom
E: -5.987 eV per atom

Cell lengths 9.1679, 9.1679, 9.1679 Å; angles 27.29, 27.29, 27.29 degrees
Atoms (fractional coordinates):
La1 0.0000 0.0000 0.0000
Y1 0.5000 0.5000 0.5000
Se1 0.3955 0.3955 0.3955
Se2 0.6045 0.6045 0.6045

Computed, not measured: a relaxed LaY2Se crystal at the GGA-PBE level of DFT.

Output
E_form (uncorrected): -820 meV/atom
crystal system: trigonal
E: -6.155 eV per atom

Cell lengths 9.9425, 9.9425, 9.9425 Å; angles 22.19, 22.19, 22.19 degrees
Atoms (fractional coordinates):
La1 0.0000 0.0000 0.0000
Y1 0.5628 0.5628 0.5628
Y2 0.7706 0.7706 0.7706
Se1 0.1668 0.1668 0.1668

Computed, not measured: a relaxed LaYSe2 crystal at the GGA-PBE level of DFT.

Output
E_form (uncorrected): -1617 meV/atom
crystal system: cubic
polymorph energy (0 for the lowest one): 0.274 eV/atom
E: -6.207 eV per atom

Cell lengths 5.1477, 5.1477, 5.1477 Å; angles 60.00, 60.00, 60.00 degrees
Atoms (fractional coordinates):
La1 0.0000 0.0000 0.0000
Y1 0.5000 0.5000 0.5000
Se1 0.2500 0.2500 0.2500
Se2 0.7500 0.7500 0.7500

Computed, not measured: a relaxed La4YSe7 crystal at the GGA-PBE level of DFT.

Output
E_form (uncorrected): -1999 meV/atom
crystal system: monoclinic
E: -6.213 eV per atom

Cell lengths 7.3136, 7.3136, 12.5292 Å; angles 104.65, 104.65, 33.10 degrees
Atoms (fractional coordinates):
La1 0.0000 0.0000 0.0000
La2 0.1901 0.1901 0.7652
La3 0.5860 0.5860 0.3783
La4 0.8871 0.8871 0.5694
Y1 0.7742 0.7742 0.1491
Se1 0.1575 0.1575 0.2209
Se2 0.2260 0.2260 0.5209
Se3 0.3812 0.3812 0.0757
Se4 0.5479 0.5479 0.6235
Se5 0.6300 0.6300 0.9302
Se6 0.8476 0.8476 0.7883
Se7 0.9260 0.9260 0.3494

Computed, not measured: a relaxed La3YSe6 crystal at the GGA-PBE level of DFT.

Output
E_form (uncorrected): -1956 meV/atom
crystal system: monoclinic
polymorph energy (0 for the lowest one): 0.025 eV/atom
E: -6.171 eV per atom

Cell lengths 7.1518, 7.8563, 12.7408 Å; angles 90.00, 122.63, 90.00 degrees
Atoms (fractional coordinates):
La1 0.0000 0.0000 0.0000
La2 0.0000 0.5000 0.5000
La3 0.2950 0.0982 0.7539
La4 0.2950 0.4018 0.2539
La5 0.7050 0.5982 0.7461
La6 0.7050 0.9018 0.2461
Y1 0.5000 0.0000 0.5000
Y2 0.5000 0.5000 0.0000
Se1 0.1019 0.0620 0.2580
Se2 0.1019 0.4380 0.7580
Se3 0.2626 0.6814 0.0809
Se4 0.2626 0.8186 0.5809
Se5 0.4089 0.1885 0.0777
Se6 0.4089 0.3115 0.5777
Se7 0.5911 0.6885 0.4223
Se8 0.5911 0.8115 0.9223
Se9 0.7374 0.1814 0.4191
Se10 0.7374 0.3186 0.9191
Se11 0.8981 0.5620 0.2420
Se12 0.8981 0.9380 0.7420

Computed, not measured: a relaxed LaY5Se6 crystal at the GGA-PBE level of DFT.

Output
E_form (uncorrected): -1803 meV/atom
crystal system: monoclinic
E: -6.650 eV per atom

Cell lengths 7.1514, 7.1514, 7.1526 Å; angles 99.59, 99.59, 120.26 degrees
Atoms (fractional coordinates):
La1 0.0000 0.0000 0.0000
Y1 0.1612 0.8388 0.5000
Y2 0.3331 0.6669 0.0000
Y3 0.5000 0.5000 0.5000
Y4 0.6669 0.3331 0.0000
Y5 0.8388 0.1612 0.5000
Se1 0.0858 0.4298 0.2574
Se2 0.2600 0.2600 0.7479
Se3 0.4298 0.0858 0.2574
Se4 0.5702 0.9142 0.7426
Se5 0.7400 0.7400 0.2521
Se6 0.9142 0.5702 0.7426

Computed, not measured: a relaxed LaY3Se crystal at the GGA-PBE level of DFT.

Output
E_form (uncorrected): 754 meV/atom
crystal system: cubic
polymorph energy (0 for the lowest one): 1.255 eV/atom
E: -4.807 eV per atom

Cell lengths 5.6204, 5.6204, 5.6204 Å; angles 90.00, 90.00, 90.00 degrees
Atoms (fractional coordinates):
La1 0.0000 0.0000 0.0000
Y1 0.0000 0.0000 0.5000
Y2 0.0000 0.5000 0.0000
Y3 0.5000 0.0000 0.0000
Se1 0.5000 0.5000 0.5000

Computed, not measured: a relaxed LaY2Se crystal at the GGA-PBE level of DFT.

Output
E_form (uncorrected): -675 meV/atom
crystal system: orthorhombic
E: -6.010 eV per atom

Cell lengths 3.6456, 3.6456, 9.9812 Å; angles 90.00, 90.00, 112.95 degrees
Atoms (fractional coordinates):
La1 0.0000 0.0000 0.0000
Y1 0.5000 0.5000 0.3003
Y2 0.5000 0.5000 0.6997
Se1 0.0000 0.0000 0.5000

Computed, not measured: a relaxed LaY2Se crystal at the GGA-PBE level of DFT.

Output
E_form (uncorrected): -694 meV/atom
crystal system: orthorhombic
E: -6.029 eV per atom

Cell lengths 3.6690, 3.6690, 9.7910 Å; angles 90.00, 90.00, 110.12 degrees
Atoms (fractional coordinates):
La1 0.0000 0.0000 0.0000
Y1 0.0000 0.0000 0.5819
Y2 0.5000 0.5000 0.2976
Se1 0.5000 0.5000 0.7780

Computed, not measured: a relaxed LaY3Se6 crystal at the GGA-PBE level of DFT.

Output
E_form (uncorrected): -1940 meV/atom
crystal system: monoclinic
E: -6.462 eV per atom

Cell lengths 11.6685, 4.1770, 11.9545 Å; angles 90.00, 109.11, 90.00 degrees
Atoms (fractional coordinates):
La1 0.0487 0.2500 0.1953
La2 0.9513 0.7500 0.8047
Y1 0.1589 0.2500 0.5865
Y2 0.3197 0.7500 0.0004
Y3 0.4412 0.2500 0.3339
Y4 0.5588 0.7500 0.6661
Y5 0.6803 0.2500 0.9996
Y6 0.8411 0.7500 0.4135
Se1 0.0839 0.7500 0.4063
Se2 0.1187 0.2500 0.9645
Se3 0.1969 0.7500 0.7501
Se4 0.2643 0.7500 0.2282
Se5 0.3925 0.2500 0.5577
Se6 0.4806 0.2500 0.1136
Se7 0.5194 0.7500 0.8864
Se8 0.6075 0.7500 0.4423
Se9 0.7357 0.2500 0.7718
Se10 0.8031 0.2500 0.2499
Se11 0.8813 0.7500 0.0355
Se12 0.9161 0.2500 0.5937

Computed, not measured: a relaxed La3Y4Se8 crystal at the GGA-PBE level of DFT.

Output
E_form (uncorrected): -1904 meV/atom
crystal system: monoclinic
E: -6.472 eV per atom

Cell lengths 8.3723, 8.3723, 8.3191 Å; angles 119.74, 119.74, 90.06 degrees
Atoms (fractional coordinates):
La1 0.0000 0.0000 0.0000
La2 0.0000 0.5000 0.0000
La3 0.5000 0.0000 0.0000
Y1 0.0000 0.5000 0.5000
Y2 0.5000 0.0000 0.5000
Y3 0.5000 0.5000 0.0000
Y4 0.5000 0.5000 0.5000
Se1 0.2530 0.7470 0.5000
Se2 0.2557 0.7443 0.0000
Se3 0.2570 0.2570 0.5108
Se4 0.2599 0.2599 0.0081
Se5 0.7401 0.7401 0.9919
Se6 0.7430 0.7430 0.4892
Se7 0.7443 0.2557 0.0000
Se8 0.7470 0.2530 0.5000

Computed, not measured: a relaxed LaY3Se crystal at the GGA-PBE level of DFT.

Output
E_form (uncorrected): -501 meV/atom
crystal system: cubic
polymorph energy (0 for the lowest one): 0.000 eV/atom
E: -6.062 eV per atom

Cell lengths 5.5005, 5.5005, 5.5005 Å; angles 90.00, 90.00, 90.00 degrees
Atoms (fractional coordinates):
La1 0.0000 0.0000 0.0000
Y1 0.0000 0.5000 0.5000
Y2 0.5000 0.0000 0.5000
Y3 0.5000 0.5000 0.0000
Se1 0.5000 0.5000 0.5000

Computed, not measured: a relaxed LaYSe2 crystal at the GGA-PBE level of DFT.

Output
E_form (uncorrected): -1459 meV/atom
crystal system: trigonal
polymorph energy (0 for the lowest one): 0.432 eV/atom
E: -6.050 eV per atom

Cell lengths 9.3515, 9.3515, 9.3515 Å; angles 25.57, 25.57, 25.57 degrees
Atoms (fractional coordinates):
La1 0.0000 0.0000 0.0000
Y1 0.5000 0.5000 0.5000
Se1 0.1084 0.1084 0.1084
Se2 0.8916 0.8916 0.8916